# 1
This record from Alexandria via LeMat-Bulk describes crystalline SrBe at its relaxed geometry. The functional is PBE.

Unit cell a=11.065 b=11.065 c=4.070 alpha=90.00 beta=90.00 gamma=90.00
Positions (direct):
Sr (0.000, 0.280, 0.000)
Sr (0.000, 0.720, 0.000)
Sr (0.280, 0.000, 0.000)
Sr (0.329, 0.329, 0.500)
Sr (0.329, 0.671, 0.500)
Sr (0.671, 0.329, 0.500)
Sr (0.671, 0.671, 0.500)
Sr (0.720, 0.000, 0.000)
Be (0.100, 0.500, 0.500)
Be (0.156, 0.500, 0.000)
Be (0.500, 0.100, 0.500)
Be (0.500, 0.156, 0.000)
Be (0.500, 0.844, 0.000)
Be (0.500, 0.900, 0.500)
Be (0.844, 0.500, 0.000)
Be (0.900, 0.500, 0.500)

The distance to the lowest polymorph of the same formula comes out at 56 meV per atom. As for the space-group type: P4/mmm.


# 2
This record from Alexandria via LeMat-Bulk describes crystalline SrBe5 at its relaxed geometry. The functional is PBE.

Unit cell a=5.149 b=5.149 c=4.010 alpha=90.00 beta=90.00 gamma=128.87
Positions (direct):
Sr (0.000, 0.000, 0.000)
Be (0.271, 0.729, 0.500)
Be (0.323, 0.677, 0.000)
Be (0.500, 0.500, 0.500)
Be (0.677, 0.323, 0.000)
Be (0.729, 0.271, 0.500)

As for the space-group type: Cmmm.


# 3
This record from Alexandria via LeMat-Bulk describes crystalline Sr3Be4 at its relaxed geometry. The functional is PBE.

Unit cell a=7.611 b=7.611 c=4.278 alpha=90.00 beta=90.00 gamma=120.00
Positions (direct):
Sr (0.000, 0.500, 0.000)
Sr (0.500, 0.000, 0.000)
Sr (0.500, 0.500, 0.000)
Be (0.000, 0.000, 0.253)
Be (0.000, 0.000, 0.747)
Be (0.333, 0.667, 0.500)
Be (0.667, 0.333, 0.500)

The distance to the lowest polymorph of the same formula comes out at 340 meV per atom. As for the space-group type: P6/mmm.


| no. | total magnetic moment (μB/atom) | final energy (eV for the cell shown) | energy of formation from the pure elements (eV/atom) |
| --- | --- | --- | --- |
| 1 | 0.000 | -37.6 | 0.3554 |
| 2 | 0.000 | -17.3 | 0.5066 |
| 3 | 0.000 | -13.4 | 0.9418 |